Compound: TePt2Se
Source: Alexandria
Functional: PBEsol
Structure: optimized geometry

Values from the calculation:
**Space group**: No. 139
**Offset from the most stable computed form**: 0.290 eV/atom
**Raw formation energy**: -16 meV per atom
**Spin magnetization**: 0.0 μB/cell

Cell lengths 4.663, 4.663, 4.663 Å; angles 106.11, 111.18, 111.18 degrees
Fractional positions:
Pt 0.500 0.500 0.000
Pt 0.500 0.000 0.500
Se 0.000 0.500 0.500
Te 0.000 0.000 0.000